# 1
# Nd2ErTa2Rh5

A relaxed Nd2ErTa2Rh5 crystal (PBE-GGA, Alexandria via LeMat-Bulk).

Output
* crystal system: tetragonal
* size of the total moment: 0.0 μB per cell
* raw total energy: -158.38 eV per cell
* Fermi-level density of states: 18.7 states/eV per cell
* symmetry: P4/mbm

a = 3.747 Å, b = 10.405 Å, c = 10.405 Å
α = 90.00°, β = 90.00°, γ = 90.00°
Fractional positions:
Nd1 0.000 0.678 0.178
Nd2 0.000 0.322 0.822
Nd3 0.000 0.178 0.322
Nd4 0.000 0.822 0.678
Er1 0.000 0.000 0.000
Er2 0.000 0.500 0.500
Ta1 0.000 0.121 0.621
Ta2 0.000 0.879 0.379
Ta3 0.000 0.621 0.879
Ta4 0.000 0.379 0.121
Rh1 0.500 0.216 0.062
Rh2 0.500 0.784 0.938
Rh3 0.500 0.062 0.784
Rh4 0.500 0.716 0.438
Rh5 0.500 0.938 0.216
Rh6 0.500 0.284 0.562
Rh7 0.500 0.562 0.716
Rh8 0.500 0.438 0.284
Rh9 0.500 0.500 0.000
Rh10 0.500 0.000 0.500

# 2
# NdEr3Ru3

A relaxed NdEr3Ru3 crystal (PBE-GGA, Alexandria via LeMat-Bulk).

Output
* crystal system: trigonal
* size of the total moment: 0.0 μB per cell
* raw total energy: -48.66 eV per cell
* Fermi-level density of states: 3.0 states/eV per cell
* symmetry: R3m

a = 5.861 Å, b = 5.805 Å, c = 5.861 Å
α = 109.28°, β = 109.66°, γ = 109.28°
Fractional positions:
Nd1 0.000 0.416 0.000
Er1 0.416 0.003 0.000
Er2 0.584 0.587 0.584
Er3 0.000 0.003 0.416
Ru1 0.501 0.506 0.000
Ru2 0.499 0.004 0.499
Ru3 0.000 0.506 0.501

For the records above, the corresponding DFT formation energy values read -4.63; -2.37 eV per formula unit.